(1)
DFT (PBEsol) results for a relaxed structure of La3MnRu. Values from VASP.

Calculated values
- SG: Pm-3m (221)
- Raw total energy: -6.67 eV/atom
- Total magnetic moment: 0.0 μB/cell
- DOS at the Fermi energy: 4.11 states/eV per cell
- Energy of formation from the pure elements: 0.5253 eV/atom

Structure (Quantum ESPRESSO input):
```
&SYSTEM
  ibrav = 0, nat = 5, ntyp = 3
/
ATOMIC_SPECIES
La 138.91 La.upf
Mn 54.94 Mn.upf
Ru 101.07 Ru.upf
CELL_PARAMETERS angstrom
-0.120 0.669 4.928
-3.065 -3.892 0.454
3.917 -3.025 0.506
ATOMIC_POSITIONS crystal
La 0.000 0.000 0.500
La 0.500 0.000 0.000
Mn 0.000 0.000 0.000
La 0.000 0.500 0.000
Ru 0.500 0.500 0.500
```

(2)
DFT (PBEsol) results for a relaxed structure of La2MnRu. Values from VASP.

Calculated values
- SG: P4/mmm (123)
- Raw total energy: -7.42 eV/atom
- Total magnetic moment: 3.2 μB/cell
- DOS at the Fermi energy: 3.18 states/eV per cell
- Energy of formation from the pure elements: 0.2328 eV/atom

Structure (Quantum ESPRESSO input):
```
&SYSTEM
  ibrav = 0, nat = 4, ntyp = 3
/
ATOMIC_SPECIES
Mn 54.94 Mn.upf
La 138.91 La.upf
Ru 101.07 Ru.upf
CELL_PARAMETERS angstrom
-2.567 1.781 -1.516
-1.704 -4.258 -2.115
-2.942 -0.820 4.022
ATOMIC_POSITIONS crystal
Mn 0.500 0.500 0.500
La 0.000 0.500 0.000
Ru 0.500 0.000 0.000
La 0.000 0.000 0.500
```